[1]
Compound: Fe2PIr
Source: Alexandria via LeMat-Bulk
Functional: PBE
Structure: relaxed

abc: 2.723 3.793 4.880
angles: 90.00 90.00 90.00
Element x y z (fractional)
Fe (0.000, 0.000, 0.241)
Fe (0.000, 0.000, 0.759)
P (0.500, 0.500, 0.000)
Ir (0.500, 0.500, 0.500)

## Properties
DFT total energy, eV per atom: -7.8392
Density of states at the Fermi level, states/eV per cell: 3.521

[2]
Compound: Fe2PIr
Source: Alexandria via LeMat-Bulk
Functional: PBE
Structure: relaxed

abc: 3.494 5.313 5.313
angles: 30.50 90.00 90.00
Element x y z (fractional)
Fe (0.000, 0.000, 0.000)
Fe (0.500, 0.367, 0.367)
P (0.000, 0.784, 0.784)
Ir (0.500, 0.634, 0.634)

## Properties
DFT total energy, eV per atom: -7.9866
Density of states at the Fermi level, states/eV per cell: 4.049